# CsCrNF2 PBE+U relaxed
# Magnetic moment   3.68 μB per formula unit
# Final energy   -3.806 eV per atom
data_CsCrNF2
_chemical_formula_sum 'Cs1 Cr1 N1 F2'
_symmetry_space_group_name_H-M 'P 4/m m m'
_symmetry_Int_Tables_number 123
_symmetry_space_group_name_Hall '-P 4 2'
_cell_length_a 5.1899
_cell_length_b 5.1899
_cell_length_c 4.4488
_cell_angle_alpha 90.00
_cell_angle_beta 90.00
_cell_angle_gamma 90.00
loop_
_atom_site_label
_atom_site_type_symbol
_atom_site_fract_x
_atom_site_fract_y
_atom_site_fract_z
_atom_site_occupancy
Cs1 Cs 0.0000 0.0000 0.0000 1
Cr1 Cr 0.5000 0.5000 0.5000 1
N1 N 0.0000 0.0000 0.5000 1
F1 F 0.0000 0.5000 0.0000 1